SbTe: optimized geometry, PBE-GGA.

Lattice parameters (Å, degrees): 11.8314 11.8314 4.0101 90.00 90.00 90.00
Closest atoms and distances in Å follow each position.
Space group I4/m (No. 87)
Asymmetric unit:
Sb  0.1230  0.3626  0.0000 x8  3 Te 2.92-3.17
Te  0.1132  0.1835  0.5000 x8  3 Sb 2.92-3.17

Total magnetization (Bohr magnetons per cell): 0.000
ΔE_f (raw) (eV/atom): 0.094
Electronic total energy (eV per atom): -3.538
ΔE to the lowest computed polymorph (eV per atom): 0.1984